Here is a geometry-optimized Pr2CdSb4Rh3 structure from the Alexandria database. Energies are from PBE.

a = 4.563 Å, b = 4.563 Å, c = 11.020 Å
α = 90.00°, β = 90.00°, γ = 90.00°
Fractional positions:
Pr 0.000 0.500 0.241
Pr 0.500 0.000 0.759
Cd 0.000 0.000 0.500
Sb 0.000 0.000 0.000
Sb 0.000 0.500 0.647
Sb 0.500 0.000 0.353
Sb 0.500 0.500 0.000
Rh 0.000 0.500 0.881
Rh 0.500 0.000 0.119
Rh 0.500 0.500 0.500

Values from the calculation:
Spin magnetization, μB/f.u.: 0.00
Crystal system: tetragonal
ρ, g/cm3: 8.61
Formation energy from raw total energies, meV per atom: -685
Symmetry: No. 115



Here is a geometry-optimized Pr2CdSb3Rh4 structure from the Alexandria database. Energies are from PBE.

a = 4.442 Å, b = 4.442 Å, c = 10.959 Å
α = 90.00°, β = 90.00°, γ = 90.00°
Fractional positions:
Pr 0.000 0.500 0.250
Pr 0.500 0.000 0.750
Cd 0.000 0.000 0.500
Sb 0.000 0.500 0.869
Sb 0.500 0.000 0.131
Sb 0.500 0.500 0.500
Rh 0.000 0.000 0.000
Rh 0.000 0.500 0.637
Rh 0.500 0.000 0.363
Rh 0.500 0.500 0.000

Values from the calculation:
Spin magnetization, μB/f.u.: 0.00
Crystal system: tetragonal
ρ, g/cm3: 8.99
Formation energy from raw total energies, meV per atom: -737
Symmetry: No. 115



Here is a geometry-optimized PrCdSb2Rh5 structure from the Alexandria database. Energies are from PBE.

a = 4.088 Å, b = 4.088 Å, c = 11.841 Å
α = 90.00°, β = 90.00°, γ = 90.00°
Fractional positions:
Pr 0.000 0.000 0.000
Cd 0.000 0.000 0.500
Sb 0.500 0.500 0.217
Sb 0.500 0.500 0.783
Rh 0.000 0.500 0.345
Rh 0.000 0.500 0.655
Rh 0.500 0.000 0.345
Rh 0.500 0.000 0.655
Rh 0.500 0.500 0.000

Values from the calculation:
Spin magnetization, μB/f.u.: 0.00
Crystal system: tetragonal
ρ, g/cm3: 8.49
Formation energy from raw total energies, meV per atom: -180
Symmetry: No. 123



Here is a geometry-optimized PrSmCdRh structure from the Alexandria database. Energies are from PBE.

a = 5.213 Å, b = 5.213 Å, c = 5.213 Å
α = 60.00°, β = 60.00°, γ = 60.00°
Fractional positions:
Pr 0.000 0.000 0.000
Sm 0.500 0.500 0.500
Cd 0.750 0.750 0.750
Rh 0.250 0.250 0.250

Values from the calculation:
Spin magnetization, μB/f.u.: 0.00
ΔE_f, kJ/mol of atoms: -41.0
Crystal system: cubic
ρ, g/cm3: 8.40
Symmetry: No. 216